Density functional theory data (SCAN) for TcIr2 at its PBEsol-relaxed geometry.

## Properties
electronic total energy: -177.9 eV per cell
calculated formation energy: -215 meV per atom

a = 2.7042 Å, b = 2.7042 Å, c = 6.0495 Å
α = 102.91°, β = 102.91°, γ = 90.00°
Closest atoms and distances in Å follow each position.
Sites, in units of the cell vectors:
1 Tc 0.0000 0.0000 0.0000  8 Ir 2.67, 4 Tc 2.70
2 Ir 0.3374 0.3374 0.6747  4 Tc 2.67, 8 Ir 2.70-2.77
3 Ir 0.6626 0.6626 0.3253  4 Tc 2.67, 8 Ir 2.70-2.77

***

Density functional theory data (SCAN) for TcIr2 at its PBEsol-relaxed geometry.

## Properties
electronic total energy: -177.8 eV per cell
calculated formation energy: -165 meV per atom

a = 2.7019 Å, b = 2.7019 Å, c = 6.6380 Å
α = 90.00°, β = 90.00°, γ = 120.00°
Closest atoms and distances in Å follow each position.
Sites, in units of the cell vectors:
1 Ir 0.3333 0.6667 0.6737  3 Tc 2.67, 9 Ir 2.70-2.78
2 Ir 0.6667 0.3333 0.3263  3 Tc 2.67, 9 Ir 2.70-2.78
3 Tc 0.0000 0.0000 0.0000  6 Ir 2.67, 6 Tc 2.70

***

Density functional theory data (SCAN) for TcIr5 at its PBEsol-relaxed geometry.

## Properties
electronic total energy: -391.1 eV per cell
calculated formation energy: -91 meV per atom

a = 2.7246 Å, b = 5.1517 Å, c = 6.4237 Å
α = 103.72°, β = 90.00°, γ = 105.33°
Closest atoms and distances in Å follow each position.
Sites, in units of the cell vectors:
1 Ir 0.6670 0.3340 0.3325  1 Tc 2.67, 11 Ir 2.68-2.74
2 Ir 0.3322 0.6643 0.6692  10 Ir 2.66-2.74, 2 Tc 2.67
3 Ir 0.3858 0.7716 0.2715  10 Ir 2.68-2.80, 2 Tc 2.69
4 Ir 0.0585 0.1170 0.6161  10 Ir 2.66-2.80, 2 Tc 2.70
5 Ir 0.0011 0.0022 0.9986  9 Ir 2.66-2.73, 3 Tc 2.68-2.71
6 Tc 0.7221 0.4442 0.9454  10 Ir 2.67-2.71, 2 Tc 2.72

***

Density functional theory data (SCAN) for TcIr2 at its PBEsol-relaxed geometry.

## Properties
electronic total energy: -711.8 eV per cell
calculated formation energy: -233 meV per atom

a = 3.8308 Å, b = 3.8308 Å, c = 11.7350 Å
α = 99.39°, β = 99.39°, γ = 90.00°
Closest atoms and distances in Å follow each position.
Sites, in units of the cell vectors:
1 Tc 0.0854 0.0854 0.1707  2 Tc 2.64, 10 Ir 2.66-2.75
2 Tc 0.1646 0.6646 0.3293  2 Tc 2.64, 10 Ir 2.66-2.75
3 Tc 0.3354 0.8354 0.6707  2 Tc 2.64, 10 Ir 2.66-2.75
4 Tc 0.9146 0.9146 0.8293  2 Tc 2.64, 10 Ir 2.66-2.75
5 Ir 0.5838 0.5838 0.1676  6 Tc 2.66-2.71, 6 Ir 2.69-2.73
6 Ir 0.2511 0.2511 0.5023  8 Ir 2.69-2.73, 4 Tc 2.71-2.75
7 Ir 0.4162 0.4162 0.8324  6 Tc 2.66-2.71, 6 Ir 2.69-2.73
8 Ir 0.9989 0.4989 0.9977  8 Ir 2.69-2.73, 4 Tc 2.71-2.75
9 Ir 0.5011 0.0011 0.0023  8 Ir 2.69-2.73, 4 Tc 2.71-2.75
10 Ir 0.7489 0.7489 0.4977  8 Ir 2.69-2.73, 4 Tc 2.71-2.75
11 Ir 0.8338 0.3338 0.6676  6 Tc 2.66-2.71, 6 Ir 2.69-2.73
12 Ir 0.6662 0.1662 0.3324  6 Tc 2.66-2.71, 6 Ir 2.69-2.73

***

Density functional theory data (SCAN) for Tc3Ir at its PBEsol-relaxed geometry.

## Properties
electronic total energy: -177.2 eV per cell
calculated formation energy: -239 meV per atom

a = 2.7143 Å, b = 4.3290 Å, c = 4.7301 Å
α = 90.00°, β = 90.00°, γ = 90.00°
Closest atoms and distances in Å follow each position.
Sites, in units of the cell vectors:
1 Tc 0.5000 0.5000 0.8319  8 Tc 2.67-2.74, 4 Ir 2.67
2 Tc 0.0000 0.5000 0.3344  10 Tc 2.67-2.74, 2 Ir 2.69
3 Tc 0.5000 0.0000 0.5020  8 Tc 2.67-2.71, 4 Ir 2.71-2.74
4 Ir 0.0000 0.0000 0.9984  10 Tc 2.67-2.74, 2 Ir 2.71

***

Density functional theory data (SCAN) for TcIr5 at its PBEsol-relaxed geometry.

## Properties
electronic total energy: -391.4 eV per cell
calculated formation energy: -147 meV per atom

a = 3.8269 Å, b = 3.8293 Å, c = 6.0515 Å
α = 90.00°, β = 108.43°, γ = 90.00°
Closest atoms and distances in Å follow each position.
Sites, in units of the cell vectors:
1 Tc 0.5000 0.0000 0.0000  12 Ir 2.67-2.71
2 Ir 0.3344 0.5000 0.6689  10 Ir 2.70-2.75, 2 Tc 2.70
3 Ir 0.6656 0.5000 0.3311  10 Ir 2.70-2.75, 2 Tc 2.70
4 Ir 0.1620 0.0000 0.3239  2 Tc 2.67, 10 Ir 2.67-2.78
5 Ir 0.8380 0.0000 0.6761  2 Tc 2.67, 10 Ir 2.67-2.78
6 Ir 0.0000 0.5000 0.0000  8 Ir 2.67-2.70, 4 Tc 2.71

***

Density functional theory data (SCAN) for TcIr8 at its PBEsol-relaxed geometry.

## Properties
electronic total energy: -604.9 eV per cell
calculated formation energy: -116 meV per atom

a = 3.8268 Å, b = 6.0531 Å, c = 6.0531 Å
α = 84.27°, β = 71.57°, γ = 71.57°
Closest atoms and distances in Å follow each position.
Sites, in units of the cell vectors:
1 Ir 0.6634 0.6732 0.0000  10 Ir 2.65-2.76, 2 Tc 2.68
2 Ir 0.6634 0.0000 0.6732  10 Ir 2.65-2.76, 2 Tc 2.68
3 Ir 0.0000 0.6691 0.3309  1 Tc 2.69, 11 Ir 2.70-2.75
4 Ir 0.3366 0.3268 0.0000  10 Ir 2.65-2.76, 2 Tc 2.68
5 Ir 0.6691 0.3309 0.3309  1 Tc 2.69, 11 Ir 2.70-2.75
6 Ir 0.3309 0.6691 0.6691  1 Tc 2.69, 11 Ir 2.70-2.75
7 Ir 0.3366 0.0000 0.3268  10 Ir 2.65-2.76, 2 Tc 2.68
8 Ir 0.0000 0.3309 0.6691  1 Tc 2.69, 11 Ir 2.70-2.75
9 Tc 0.0000 0.0000 0.0000  12 Ir 2.68-2.69

***

Density functional theory data (SCAN) for TcIr2 at its PBEsol-relaxed geometry.

## Properties
electronic total energy: -355.8 eV per cell
calculated formation energy: -210 meV per atom

a = 2.7208 Å, b = 5.1273 Å, c = 6.4144 Å
α = 103.37°, β = 90.00°, γ = 105.39°
Closest atoms and distances in Å follow each position.
Sites, in units of the cell vectors:
1 Tc 0.0551 0.1102 0.6130  8 Ir 2.63-2.74, 4 Tc 2.72
2 Tc 0.7224 0.4448 0.9436  8 Ir 2.65-2.73, 4 Tc 2.72
3 Ir 0.0027 0.0055 0.9968  4 Tc 2.63-2.71, 8 Ir 2.70-2.74
4 Ir 0.6657 0.3314 0.3353  9 Ir 2.67-2.74, 3 Tc 2.67-2.70
5 Ir 0.3894 0.7788 0.2765  8 Ir 2.67-2.72, 4 Tc 2.73-2.74
6 Ir 0.3313 0.6626 0.6681  5 Tc 2.65-2.69, 7 Ir 2.71-2.73